The following is a DFT calculation (PBE) of a relaxed structure of Ce2ScS5.

Results
E_form (uncorrected): -1463 kJ/mol of formula units
Total magnetic moment: 0.131 μB per atom

Cell: 11.285 7.863 7.660 Å, 90.00 90.00 90.00°
Space group Pnma (No. 62)
Inequivalent atoms, fractional coordinates:
Ce1 0.177 0.000 0.041
Sc1 0.000 0.250 0.496
S1 0.000 0.250 0.002
S2 0.088 0.002 0.675
S3 0.198 0.750 0.332
S4 0.199 0.250 0.330